No. 1
Zr3NpP4 | PBE | relaxed

```
Zr3NpP4
1.0
6.538 0.000 0.000
0.000 7.576 0.000
-2.199 0.000 6.210
Zr Np P
6 2 8
Direct
0.000 0.121 0.250 Zr
0.000 0.371 0.750 Zr
0.000 0.629 0.250 Zr
0.000 0.879 0.750 Zr
0.500 0.124 0.750 Zr
0.500 0.876 0.250 Zr
0.500 0.373 0.250 Np
0.500 0.627 0.750 Np
0.246 0.373 0.499 P
0.246 0.627 0.999 P
0.248 0.123 0.000 P
0.248 0.877 0.500 P
0.752 0.123 0.500 P
0.752 0.877 0.000 P
0.754 0.373 0.001 P
0.754 0.627 0.501 P
```

=====

No. 2
PBE ZrNpP2, relaxed; energy relative to the lowest polymorph listed for this composition = 0 meV/atom
1.0
1.919 1.108 6.279
-1.919 1.108 6.279
0.000 -2.215 6.279
Zr Np P
1 1 2
Direct
0.000 0.000 0.000 Zr
0.500 0.500 0.500 Np
0.253 0.253 0.253 P
0.747 0.747 0.747 P

=====

No. 3
ZrNp4P5 | PBE | relaxed

```
ZrNp4P5
1.0
-1.950 2.767 9.800
1.950 -2.767 9.800
1.950 2.767 -9.800
Zr Np P
1 4 5
Direct
0.000 0.000 0.000 Zr
0.197 0.197 0.000 Np
0.402 0.402 0.000 Np
0.598 0.598 0.000 Np
0.803 0.803 0.000 Np
0.096 0.596 0.500 P
0.299 0.799 0.500 P
0.500 0.000 0.500 P
0.701 0.201 0.500 P
0.904 0.404 0.500 P
```

=====

No. 4
NpPa4 | PBE | relaxed

```
NpPa4
1.0
5.095 0.000 0.000
0.000 5.095 0.000
0.000 0.000 5.095
Np Pa
1 4
Direct
0.000 0.000 0.000 Np
0.000 0.000 0.500 Pa
0.000 0.500 0.000 Pa
0.500 0.000 0.000 Pa
0.500 0.500 0.500 Pa
```

=====

No. 5
PBE NpPa3, relaxed; energy relative to the lowest polymorph listed for this composition = 0 meV/atom
1.0
-1.585 2.708 5.462
1.585 -2.708 5.462
1.585 2.708 -5.462
Np Pa
1 3
Direct
0.000 0.000 0.000 Np
0.238 0.738 0.500 Pa
0.500 0.500 0.000 Pa
0.762 0.262 0.500 Pa

=====

No. 6
PBE NpPa3, relaxed; energy relative to the lowest polymorph listed for this composition = 20 meV/atom
1.0
6.296 0.000 0.000
-3.148 5.452 0.000
0.000 0.000 5.596
Np Pa
2 6
Direct
0.333 0.667 0.250 Np
0.667 0.333 0.750 Np
0.167 0.335 0.750 Pa
0.167 0.833 0.750 Pa
0.335 0.167 0.250 Pa
0.665 0.833 0.750 Pa
0.833 0.167 0.250 Pa
0.833 0.665 0.250 Pa

=====

Number 1: energy of formation -1.269 eV/atom. Number 2: energy of formation -1.166 eV/atom. Number 3: energy of formation -0.984 eV/atom. Number 4: energy of formation 0.550 eV/atom. Number 5: energy of formation 0.134 eV/atom. Number 6: energy of formation 0.155 eV/atom.